Entry 1:
AlPBr2 | PBE | optimized geometry

CIF file:
```
data_AlPBr2
_chemical_formula_sum 'Al2 P2 Br4'
_symmetry_space_group_name_H-M 'P 1'
_symmetry_Int_Tables_number 1
_symmetry_space_group_name_Hall 'P 1'
_cell_length_a 4.675
_cell_length_b 4.675
_cell_length_c 9.557
_cell_angle_alpha 75.84
_cell_angle_beta 75.84
_cell_angle_gamma 90.00
loop_
_atom_site_label
_atom_site_type_symbol
_atom_site_fract_x
_atom_site_fract_y
_atom_site_fract_z
_atom_site_occupancy
Al1 Al 0.500 0.500 0.000 1
Al2 Al 0.250 0.750 0.500 1
P1 P 0.750 0.250 0.500 1
P2 P 0.000 0.000 0.000 1
Br1 Br 0.875 0.880 0.750 1
Br2 Br 0.375 0.370 0.750 1
Br3 Br 0.120 0.625 0.250 1
Br4 Br 0.630 0.125 0.250 1
```

Properties
Energy relative to the elements, uncorrected, eV/atom: 0.410
Raw total energy, eV/atom: -2.7143
Symmetry: No. 122
Energy above the most stable polymorph in this dataset, meV per atom: 1002.3


Entry 2:
Pr4AlPBr2 | PBE | optimized geometry

CIF file:
```
data_Pr4AlPBr2
_chemical_formula_sum 'Pr4 Al1 P1 Br2'
_symmetry_space_group_name_H-M 'P 1'
_symmetry_Int_Tables_number 1
_symmetry_space_group_name_Hall 'P 1'
_cell_length_a 4.139
_cell_length_b 7.546
_cell_length_c 7.915
_cell_angle_alpha 107.70
_cell_angle_beta 90.00
_cell_angle_gamma 90.00
loop_
_atom_site_label
_atom_site_type_symbol
_atom_site_fract_x
_atom_site_fract_y
_atom_site_fract_z
_atom_site_occupancy
Pr1 Pr 0.000 0.273 0.792 1
Pr2 Pr 0.000 0.727 0.208 1
P1 P 0.500 0.500 0.000 1
Br1 Br 0.500 0.000 0.500 1
Pr3 Pr 0.500 0.257 0.222 1
Al1 Al 0.000 0.000 0.000 1
Br2 Br 0.000 0.500 0.500 1
Pr4 Pr 0.500 0.743 0.778 1
```

Properties
Energy relative to the elements, uncorrected, eV/atom: -1.099
Raw total energy, eV/atom: -5.0507
Symmetry: No. 10


Entry 3:
Pr6AlP2Br3 | PBE | optimized geometry

CIF file:
```
data_Pr6AlP2Br3
_chemical_formula_sum 'Pr6 Al1 P2 Br3'
_symmetry_space_group_name_H-M 'P 1'
_symmetry_Int_Tables_number 1
_symmetry_space_group_name_Hall 'P 1'
_cell_length_a 4.157
_cell_length_b 9.026
_cell_length_c 9.914
_cell_angle_alpha 106.24
_cell_angle_beta 102.10
_cell_angle_gamma 90.00
loop_
_atom_site_label
_atom_site_type_symbol
_atom_site_fract_x
_atom_site_fract_y
_atom_site_fract_z
_atom_site_occupancy
Pr1 Pr 0.678 0.560 0.357 1
Pr2 Pr 0.339 0.884 0.677 1
Br1 Br 0.500 0.500 0.000 1
Al1 Al 0.500 0.000 0.000 1
Pr3 Pr 0.322 0.440 0.643 1
Pr4 Pr 0.012 0.246 0.025 1
P1 P 0.832 0.663 0.664 1
Pr5 Pr 0.661 0.116 0.323 1
P2 P 0.168 0.337 0.336 1
Br2 Br 0.166 0.832 0.332 1
Pr6 Pr 0.988 0.754 0.975 1
Br3 Br 0.834 0.168 0.668 1
```

Properties
Energy relative to the elements, uncorrected, eV/atom: -1.237
Raw total energy, eV/atom: -5.2582
Symmetry: No. 12


Entry 4:
Rb2AlPBr6 | PBE | optimized geometry

CIF file:
```
data_Rb2AlPBr6
_chemical_formula_sum 'Rb2 Al1 P1 Br6'
_symmetry_space_group_name_H-M 'P 1'
_symmetry_Int_Tables_number 1
_symmetry_space_group_name_Hall 'P 1'
_cell_length_a 7.669
_cell_length_b 7.669
_cell_length_c 7.607
_cell_angle_alpha 59.73
_cell_angle_beta 59.73
_cell_angle_gamma 90.00
loop_
_atom_site_label
_atom_site_type_symbol
_atom_site_fract_x
_atom_site_fract_y
_atom_site_fract_z
_atom_site_occupancy
Br1 Br 0.261 0.261 0.000 1
Rb1 Rb 0.750 0.250 0.500 1
P1 P 0.000 0.000 0.000 1
Br2 Br 0.261 0.739 0.000 1
Al1 Al 0.500 0.500 0.000 1
Br3 Br 0.756 0.756 0.488 1
Rb2 Rb 0.250 0.750 0.500 1
Br4 Br 0.739 0.261 0.000 1
Br5 Br 0.244 0.244 0.512 1
Br6 Br 0.739 0.739 0.000 1
```

Properties
Energy relative to the elements, uncorrected, eV/atom: -0.921
Raw total energy, eV/atom: -3.0330
Symmetry: No. 139